w | Cu2RuW after structural relaxation, computed with PBEsol.

a b c (Å): 2.6445 4.0442 4.9962
angles (deg): 90.00 100.65 90.00
Closest atoms and distances in Å follow each position.
Fractional positions:
Cu  0.8352  0.0000  0.0056  2 Cu 2.34, 1 Ru 2.55
Cu  0.9153  0.5000  0.2454  2 Cu 2.34, 1 W 2.54
Ru  0.4968  0.0000  0.4924  7 Cu 2.55-2.74, 2 W 2.56, 2 Ru 2.64
W  0.2526  0.5000  0.7565  7 Cu 2.54-2.75, 2 Ru 2.56, 2 W 2.64

Values from the calculation:
**Density**: 13.0 g/cm3
**Total magnetic moment**: 0.000 μB per atom
**Space group**: No. 6

---

x | Cu2RuW after structural relaxation, computed with PBEsol.

a b c (Å): 3.7131 3.7167 4.5722
angles (deg): 113.98 113.96 90.00
Closest atoms and distances in Å follow each position.
Fractional positions:
Cu  0.0000  0.0000  0.0001  4 Ru 2.63, 4 Cu 2.64, 4 W 2.64
Cu  0.7500  0.2500  0.4999  4 W 2.63, 4 Cu 2.64, 4 Ru 2.64
Ru  0.5000  0.5000  0.9999  8 Cu 2.63-2.64, 4 W 2.64
W  0.2500  0.7500  0.5001  8 Cu 2.63-2.64, 4 Ru 2.64

Values from the calculation:
**Density**: 13.2 g/cm3
**Total magnetic moment**: 0.000 μB per atom
**Space group**: No. 119

---

y | Cu2RuW after structural relaxation, computed with PBEsol.

a b c (Å): 3.0795 3.0795 5.5412
angles (deg): 90.00 90.00 90.00
Closest atoms and distances in Å follow each position.
Fractional positions:
Cu  0.0000  0.0000  0.0228  4 Cu 2.46, 1 Ru 2.66, 4 W 2.66
Cu  0.5000  0.5000  0.2279  4 Cu 2.46, 4 Ru 2.66, 1 W 2.67
Ru  0.0000  0.0000  0.5026  4 W 2.56, 5 Cu 2.66
W  0.5000  0.5000  0.7467  4 Ru 2.56, 5 Cu 2.66-2.67

Values from the calculation:
**Density**: 13.0 g/cm3
**Total magnetic moment**: 0.000 μB per atom
**Space group**: No. 99

---

Q: Which of them is the least stable? A: w.